Record 1
Compound: BaWSeN2
Source: Alexandria via LeMat-Bulk
Functional: GGA-PBE
Structure: relaxed

**Polymorph energy (0 for the lowest one)**: 2.761 eV/atom
**VASP energy**: -4.591 eV/atom
**Space group**: P4/mmm (123)
**E_form (uncorrected)**: 12.1 eV per formula unit
**Total moment**: 3.35 Bohr magnetons per cell

Cell: 4.288 4.288 6.513 Å, 90.00 90.00 90.00°
Fractional coordinates of all 5 atoms:
Ba 0.000 0.000 0.000
W 0.500 0.500 0.500
Se 0.000 0.000 0.500
N 0.000 0.500 0.000
N 0.500 0.000 0.000

=====

Record 2
Compound: Ba2WSeN
Source: Alexandria via LeMat-Bulk
Functional: GGA-PBE
Structure: relaxed

**VASP energy**: -5.941 eV/atom
**Space group**: P4/mmm (123)
**E_form (uncorrected)**: -1.1 eV per formula unit
**Total moment**: 0.00 Bohr magnetons per cell

Cell: 6.088 6.088 3.929 Å, 90.00 90.00 90.00°
Fractional coordinates of all 5 atoms:
Ba 0.000 0.500 0.000
Ba 0.500 0.000 0.000
W 0.000 0.000 0.000
Se 0.500 0.500 0.500
N 0.000 0.000 0.500

=====

Record 3
Compound: BaWSe2N
Source: Alexandria via LeMat-Bulk
Functional: GGA-PBE
Structure: relaxed

**Polymorph energy (0 for the lowest one)**: 0.000 eV/atom
**VASP energy**: -6.741 eV/atom
**Space group**: P4/mmm (123)
**E_form (uncorrected)**: -3.5 eV per formula unit
**Total moment**: 0.00 Bohr magnetons per cell

Cell: 5.248 5.248 3.944 Å, 90.00 90.00 90.00°
Fractional coordinates of all 5 atoms:
Ba 0.000 0.000 0.000
W 0.500 0.500 0.500
Se 0.000 0.500 0.500
Se 0.500 0.000 0.500
N 0.500 0.500 0.000

=====

Record 4
Compound: BaWSeN2
Source: Alexandria via LeMat-Bulk
Functional: GGA-PBE
Structure: relaxed

**Polymorph energy (0 for the lowest one)**: 0.000 eV/atom
**VASP energy**: -7.352 eV/atom
**Space group**: P4/mmm (123)
**E_form (uncorrected)**: -1.7 eV per formula unit
**Total moment**: 0.00 Bohr magnetons per cell

Cell: 4.173 4.173 5.126 Å, 90.00 90.00 90.00°
Fractional coordinates of all 5 atoms:
Ba 0.000 0.000 0.000
W 0.500 0.500 0.500
Se 0.500 0.500 0.000
N 0.000 0.500 0.500
N 0.500 0.000 0.500

=====

Record 5
Compound: BaYSe2N
Source: Alexandria via LeMat-Bulk
Functional: GGA-PBE
Structure: relaxed

**Polymorph energy (0 for the lowest one)**: 1.306 eV/atom
**VASP energy**: -4.447 eV/atom
**Space group**: P4/mmm (123)
**E_form (uncorrected)**: 1.4 eV per formula unit
**Total moment**: 0.40 Bohr magnetons per cell

Cell: 5.848 5.848 4.317 Å, 90.00 90.00 90.00°
Fractional coordinates of all 5 atoms:
Ba 0.000 0.000 0.000
Y 0.500 0.500 0.500
Se 0.000 0.500 0.000
Se 0.500 0.000 0.000
N 0.000 0.000 0.500

=====

Record 6
Compound: BaYSeN2
Source: Alexandria via LeMat-Bulk
Functional: GGA-PBE
Structure: relaxed

**Polymorph energy (0 for the lowest one)**: 0.000 eV/atom
**VASP energy**: -6.052 eV/atom
**Space group**: P4/mmm (123)
**E_form (uncorrected)**: -1.7 eV per formula unit
**Total moment**: 3.01 Bohr magnetons per cell

Cell: 4.672 4.672 5.606 Å, 90.00 90.00 90.00°
Fractional coordinates of all 5 atoms:
Ba 0.000 0.000 0.000
Y 0.500 0.500 0.500
Se 0.500 0.500 0.000
N 0.000 0.500 0.500
N 0.500 0.000 0.500